# 1
A relaxed Pr5Y2Ho5 crystal, computed with GGA-PBE.

Cell: 8.0709 8.0709 11.4614 Å, 115.11 115.11 36.80°
Fractional positions:
Pr  0.0000  0.0000  0.0000
Pr  0.0853  0.0853  0.7512
Pr  0.1656  0.1656  0.4999
Pr  0.8344  0.8344  0.5001
Pr  0.9147  0.9147  0.2488
Y  0.4166  0.4166  0.7519
Y  0.5834  0.5834  0.2481
Ho  0.2490  0.2490  0.2470
Ho  0.3316  0.3316  0.9985
Ho  0.5000  0.5000  0.5000
Ho  0.6684  0.6684  0.0015
Ho  0.7510  0.7510  0.7530

Calculated total energy, eV/cell: -59.47

=====

# 2
A relaxed SmGa4Co3 crystal, computed with GGA-PBE.

Cell: 4.7237 4.7237 6.6516 Å, 90.00 90.00 114.28°
Fractional positions:
Sm  0.0000  0.0000  0.0000
Ga  0.0000  0.5000  0.3016
Ga  0.0000  0.5000  0.6984
Ga  0.5000  0.0000  0.3016
Ga  0.5000  0.0000  0.6984
Co  0.0000  0.0000  0.5000
Co  0.5000  0.5000  0.3295
Co  0.5000  0.5000  0.6705

Calculated total energy, eV/cell: -39.10

=====

# 3
A relaxed HoCo13 crystal, computed with GGA-PBE.

Cell: 7.9029 7.9029 7.9029 Å, 60.00 60.00 60.00°
Fractional positions:
Ho  0.2500  0.2500  0.2500
Ho  0.7500  0.7500  0.7500
Co  0.0000  0.0000  0.0000
Co  0.0582  0.2974  0.7026
Co  0.0582  0.7026  0.9418
Co  0.0582  0.9418  0.2974
Co  0.2026  0.4418  0.7974
Co  0.2026  0.5582  0.4418
Co  0.2026  0.7974  0.5582
Co  0.2974  0.0582  0.9418
Co  0.2974  0.7026  0.0582
Co  0.2974  0.9418  0.7026
Co  0.4418  0.2026  0.5582
Co  0.4418  0.5582  0.7974
Co  0.4418  0.7974  0.2026
Co  0.5000  0.5000  0.5000
Co  0.5582  0.2026  0.7974
Co  0.5582  0.4418  0.2026
Co  0.5582  0.7974  0.4418
Co  0.7026  0.0582  0.2974
Co  0.7026  0.2974  0.9418
Co  0.7026  0.9418  0.0582
Co  0.7974  0.2026  0.4418
Co  0.7974  0.4418  0.5582
Co  0.7974  0.5582  0.2026
Co  0.9418  0.0582  0.7026
Co  0.9418  0.2974  0.0582
Co  0.9418  0.7026  0.2974

Calculated total energy, eV/cell: -195.06

=====

# 4
A relaxed NpTaV4 crystal, computed with GGA-PBE.

Cell: 5.1223 5.1223 5.1223 Å, 60.00 60.00 60.00°
Fractional positions:
Np  0.0000  0.0000  0.0000
Ta  0.7500  0.7500  0.7500
V  0.3747  0.3747  0.3747
V  0.3747  0.3747  0.8758
V  0.3747  0.8758  0.3747
V  0.8758  0.3747  0.3747

Calculated total energy, eV/cell: -59.79

=====

Number 1: energy relative to the elements 0.02 eV/atom. Number 2: energy relative to the elements -0.12 eV/atom. Number 3: energy relative to the elements -0.04 eV/atom. Number 4: energy relative to the elements 0.25 eV/atom.